Here is a relaxed LiAg2HSe crystal from Alexandria. Energies are from PBE.

The structure belongs to space group P4/mmm (No. 123); the cell edges are 4.048, 4.048 and 4.644 Å and the angles 90.00°, 90.00° and 90.00°. The asymmetric unit holds Li at (0.000, 0.000, 0.000), Ag at (0.000, 0.500, 0.500), H at (0.000, 0.000, 0.500) and Se at (0.500, 0.500, 0.000).

The energy comes out at -3.1148 eV/atom. The calculation puts the volume at 15.2 Å³ per atom. The density of states at the Fermi level is 0.1339 states/eV/atom. The total magnetization comes out at 0.000 μB per atom.

Here is a relaxed Li2SiAgH crystal from Alexandria. Energies are from PBE.

The structure belongs to space group P4/mmm (No. 123); the cell edges are 3.937, 3.937 and 3.906 Å and the angles 90.00°, 90.00° and 90.00°. The asymmetric unit holds Li at (0.000, 0.500, 0.000), Si at (0.000, 0.000, 0.500), Ag at (0.500, 0.500, 0.500) and H at (0.000, 0.000, 0.000).

The energy comes out at -3.1505 eV/atom. The calculation puts the volume at 12.1 Å³ per atom. The density of states at the Fermi level is 0.2567 states/eV/atom. The total magnetization comes out at 0.000 μB per atom.

Here is a relaxed SrLi2AgH crystal from Alexandria. Energies are from PBE.

The structure belongs to space group P4/mmm (No. 123); the cell edges are 4.415, 4.415 and 5.102 Å and the angles 90.00°, 90.00° and 90.00°. The asymmetric unit holds Sr at (0.000, 0.000, 0.000), Li at (0.000, 0.500, 0.500), Ag at (0.500, 0.500, 0.000) and H at (0.000, 0.000, 0.500).

The energy comes out at -2.4960 eV/atom. The calculation puts the volume at 19.9 Å³ per atom. The density of states at the Fermi level is 0.5741 states/eV/atom. The total magnetization comes out at 0.000 μB per atom.

Here is a relaxed Li2AgTeH crystal from Alexandria. Energies are from PBE.

The structure belongs to space group P4/mmm (No. 123); the cell edges are 4.415, 4.415 and 4.037 Å and the angles 90.00°, 90.00° and 90.00°. The asymmetric unit holds Li at (0.000, 0.500, 0.000), Ag at (0.000, 0.000, 0.500), Te at (0.500, 0.500, 0.500) and H at (0.000, 0.000, 0.000).

The energy comes out at -3.1117 eV/atom. The calculation puts the volume at 15.7 Å³ per atom. The density of states at the Fermi level is 0.0650 states/eV/atom. The total magnetization comes out at 0.000 μB per atom.

Here is a relaxed LiAg2TeH crystal from Alexandria. Energies are from PBE.

The structure belongs to space group P4/mmm (No. 123); the cell edges are 4.172, 4.172 and 4.800 Å and the angles 90.00°, 90.00° and 90.00°. The asymmetric unit holds Li at (0.000, 0.000, 0.000), Ag at (0.000, 0.500, 0.500), Te at (0.500, 0.500, 0.000) and H at (0.000, 0.000, 0.500).

The energy comes out at -2.9934 eV/atom. The calculation puts the volume at 16.7 Å³ per atom. The density of states at the Fermi level is 0.0891 states/eV/atom. The total magnetization comes out at 0.000 μB per atom.

Here is a relaxed LiTi2AgH crystal from Alexandria. Energies are from PBE.

The structure belongs to space group P4/mmm (No. 123); the cell edges are 3.919, 3.919 and 4.371 Å and the angles 90.00°, 90.00° and 90.00°. The asymmetric unit holds Li at (0.000, 0.000, 0.000), Ti at (0.000, 0.500, 0.500), Ag at (0.500, 0.500, 0.000) and H at (0.000, 0.000, 0.500).

The energy comes out at -4.8223 eV/atom. The calculation puts the volume at 13.4 Å³ per atom. The density of states at the Fermi level is 0.9405 states/eV/atom. The total magnetization comes out at 0.000 μB per atom.

Here is a relaxed LiTl2AgH crystal from Alexandria. Energies are from PBE.

The structure belongs to space group P4/mmm (No. 123); the cell edges are 5.113, 5.113 and 3.655 Å and the angles 90.00°, 90.00° and 90.00°. The asymmetric unit holds Li at (0.000, 0.000, 0.000), Tl at (0.000, 0.500, 0.500), Ag at (0.500, 0.500, 0.000) and H at (0.000, 0.000, 0.500).

The energy comes out at -2.5267 eV/atom. The calculation puts the volume at 19.1 Å³ per atom. The density of states at the Fermi level is 0.4577 states/eV/atom. The total magnetization comes out at 0.000 μB per atom.

Here is a relaxed LiAg2HW crystal from Alexandria. Energies are from PBE.

The structure belongs to space group P4/mmm (No. 123); the cell edges are 4.949, 4.949 and 2.840 Å and the angles 90.00°, 90.00° and 90.00°. The asymmetric unit holds Li at (0.000, 0.000, 0.000), Ag at (0.000, 0.500, 0.500), H at (0.000, 0.000, 0.500) and W at (0.500, 0.500, 0.000).

The energy comes out at -4.0716 eV/atom. The calculation puts the volume at 13.9 Å³ per atom. The density of states at the Fermi level is 0.5949 states/eV/atom. The total magnetization comes out at 0.000 μB per atom.

Here is a relaxed LiY2AgH crystal from Alexandria. Energies are from PBE.

The structure belongs to space group P4/mmm (No. 123); the cell edges are 4.989, 4.989 and 3.841 Å and the angles 90.00°, 90.00° and 90.00°. The asymmetric unit holds Li at (0.000, 0.000, 0.000), Y at (0.000, 0.500, 0.500), Ag at (0.500, 0.500, 0.000) and H at (0.000, 0.000, 0.500).

The offset from the most stable computed form is 0 meV per atom. The energy comes out at -4.4905 eV/atom. The calculation puts the volume at 19.1 Å³ per atom. The density of states at the Fermi level is 0.5874 states/eV/atom. The total magnetization comes out at 0.052 μB per atom.

Here is a relaxed LiY2AgH crystal from Alexandria. Energies are from PBE.

The structure belongs to space group P4/mmm (No. 123); the cell edges are 4.900, 4.900 and 4.126 Å and the angles 90.00°, 90.00° and 90.00°. The asymmetric unit holds Li at (0.000, 0.000, 0.000), Y at (0.000, 0.500, 0.500), Ag at (0.500, 0.500, 0.000) and H at (0.500, 0.500, 0.500).

The offset from the most stable computed form is 140 meV per atom. The energy comes out at -4.3503 eV/atom. The calculation puts the volume at 19.8 Å³ per atom. The density of states at the Fermi level is 0.8245 states/eV/atom. The total magnetization comes out at 0.037 μB per atom.

Here is a relaxed LiZrAg2H crystal from Alexandria. Energies are from PBE.

The structure belongs to space group P4/mmm (No. 123); the cell edges are 5.442, 5.442 and 3.653 Å and the angles 90.00°, 90.00° and 90.00°. The asymmetric unit holds Li at (0.000, 0.000, 0.000), Zr at (0.500, 0.500, 0.500), Ag at (0.000, 0.500, 0.500) and H at (0.500, 0.500, 0.000).

The energy comes out at -3.4580 eV/atom. The calculation puts the volume at 21.6 Å³ per atom. The density of states at the Fermi level is 0.6519 states/eV/atom. The total magnetization comes out at 0.000 μB per atom.

Here is a relaxed Li2ZrAgH crystal from Alexandria. Energies are from PBE.

The structure belongs to space group P4/mmm (No. 123); the cell edges are 4.050, 4.050 and 4.516 Å and the angles 90.00°, 90.00° and 90.00°. The asymmetric unit holds Li at (0.000, 0.500, 0.000), Zr at (0.000, 0.000, 0.500), Ag at (0.500, 0.500, 0.500) and H at (0.000, 0.000, 0.000).

The energy comes out at -3.7546 eV/atom. The calculation puts the volume at 14.8 Å³ per atom. The density of states at the Fermi level is 0.7550 states/eV/atom. The total magnetization comes out at 0.031 μB per atom.

Here is a relaxed Lu3AgH crystal from Alexandria. Energies are from PBE.

The structure belongs to space group Pm-3m (No. 221); the cell edges are 4.701, 4.701 and 4.701 Å and the angles 90.00°, 90.00° and 90.00°. The asymmetric unit holds Lu at (0.000, 0.000, 0.500), Ag at (0.500, 0.500, 0.500) and H at (0.000, 0.000, 0.000).

The energy comes out at -4.0786 eV/atom. The calculation puts the volume at 20.8 Å³ per atom. The density of states at the Fermi level is 1.2467 states/eV/atom. The total magnetization comes out at 0.383 μB per atom.

Here is a relaxed Lu2AgH crystal from Alexandria. Energies are from PBE.

The structure belongs to space group R-3m (No. 166, hexagonal axes); the cell edges are 3.5437, 3.5437 and 21.4425 Å and the angles 90.00°, 90.00° and 120.00°. The asymmetric unit holds Lu at (0.0000, 0.0000, 0.2285), Ag at (0.0000, 0.0000, 0.0000) and H at (0.0000, 0.0000, 0.5000).

The energy comes out at -3.9908 eV/atom. The calculation puts the volume at 19.4 Å³ per atom. The density of states at the Fermi level is 1.0923 states/eV/atom. The total magnetization comes out at 0.000 μB per atom.

Here is a relaxed Mg2AgH2 crystal from Alexandria. Energies are from PBE.

The structure belongs to space group P4/mbm (No. 127); the cell edges are 7.138, 7.138 and 2.813 Å and the angles 90.00°, 90.00° and 90.00°. The asymmetric unit holds Mg at (0.138, 0.362, 0.000), Ag at (0.000, 0.000, 0.000) and H at (0.105, 0.605, 0.500).

The offset from the most stable computed form is 453 meV per atom. The energy comes out at -2.1980 eV/atom. The calculation puts the volume at 14.3 Å³ per atom. The density of states at the Fermi level is 0.1375 states/eV/atom. The total magnetization comes out at 0.000 μB per atom.

Here is a relaxed Mg2AgH crystal from Alexandria. Energies are from PBE.

The structure belongs to space group I-42d (No. 122); the cell edges are 6.047, 6.047 and 7.061 Å and the angles 90.00°, 90.00° and 90.00°. The asymmetric unit holds Mg at (0.150, 0.250, 0.125), Ag at (0.000, 0.000, 0.500) and H at (0.000, 0.000, 0.000).

The offset from the most stable computed form is 44 meV per atom. The energy comes out at -2.3470 eV/atom. The calculation puts the volume at 16.1 Å³ per atom. The density of states at the Fermi level is 0.0661 states/eV/atom. The total magnetization comes out at 0.000 μB per atom.

Here is a relaxed MgAgH crystal from Alexandria. Energies are from PBE.

The structure belongs to space group P3m1 (No. 156); the cell edges are 3.7264, 3.7264 and 3.5719 Å and the angles 90.00°, 90.00° and 120.00°. The asymmetric unit holds Mg at (0.0000, 0.0000, 0.0000), Ag at (0.6667, 0.3333, 0.5002) and H at (0.3333, 0.6667, 0.5016).

The energy comes out at -2.4084 eV/atom. The calculation puts the volume at 14.3 Å³ per atom. The density of states at the Fermi level is 0.1571 states/eV/atom. The total magnetization comes out at 0.000 μB per atom.

Here is a relaxed MgAg2H2 crystal from Alexandria. Energies are from PBE.

The structure belongs to space group P4/mbm (No. 127); the cell edges are 5.722, 5.722 and 3.982 Å and the angles 90.00°, 90.00° and 90.00°. The asymmetric unit holds Mg at (0.000, 0.000, 0.000), Ag at (0.184, 0.316, 0.500) and H at (0.182, 0.318, 0.000).

The energy comes out at -2.7277 eV/atom. The calculation puts the volume at 13.0 Å³ per atom. The density of states at the Fermi level is 0.2381 states/eV/atom. The total magnetization comes out at 0.000 μB per atom.

Here is a relaxed Mg2AgH2 crystal from Alexandria. Energies are from PBE.

The structure belongs to space group I4/mmm (No. 139); the cell edges are 3.244, 3.244 and 12.261 Å and the angles 90.00°, 90.00° and 90.00°. The asymmetric unit holds Mg at (0.000, 0.000, 0.154), Ag at (0.000, 0.000, 0.500) and H at (0.000, 0.500, 0.250).

The offset from the most stable computed form is 0 meV per atom. The energy comes out at -2.6507 eV/atom. The calculation puts the volume at 12.9 Å³ per atom. The density of states at the Fermi level is 0.1755 states/eV/atom. The total magnetization comes out at 0.000 μB per atom.

Here is a relaxed MgAg2H crystal from Alexandria. Energies are from PBE.

The structure belongs to space group Fm-3m (No. 225); the cell edges are 6.339, 6.339 and 6.339 Å and the angles 90.00°, 90.00° and 90.00°. The asymmetric unit holds Mg at (0.000, 0.000, 0.000), Ag at (0.250, 0.250, 0.250) and H at (0.000, 0.000, 0.500).

The offset from the most stable computed form is 286 meV per atom. The energy comes out at -2.1890 eV/atom. The calculation puts the volume at 15.9 Å³ per atom. The density of states at the Fermi level is 0.3744 states/eV/atom. The total magnetization comes out at 0.000 μB per atom.